1.
DFT (PBE-GGA) results for TcHgBr2 after structural relaxation.

* E_form (uncorrected): 0.6802 eV/atom
* crystal system: tetragonal
* space-group type: No. 119
* theoretical density: 7265 kg/m³

abc: 6.716 6.716 6.716
angles: 143.86 143.86 52.04
Fractional positions:
1 Br 0.000 0.000 0.000
2 Br 0.250 0.750 0.500
3 Hg 0.500 0.500 0.000
4 Tc 0.750 0.250 0.500

=====

2.
DFT (PBE-GGA) results for TcHgBr2 after structural relaxation.

* E_form (uncorrected): 0.3698 eV/atom
* crystal system: trigonal
* space-group type: No. 166
* theoretical density: 7546 kg/m³

abc: 11.806 11.806 11.806
angles: 15.38 15.38 15.38
Fractional positions:
1 Hg 0.500 0.500 0.500
2 Br 0.068 0.068 0.068
3 Tc 0.000 0.000 0.000
4 Br 0.932 0.932 0.932

=====

3.
DFT (PBE-GGA) results for TcHg2Br after structural relaxation.

* E_form (uncorrected): 0.5526 eV/atom
* crystal system: tetragonal
* space-group type: No. 123
* theoretical density: 10816 kg/m³

abc: 3.336 3.336 7.987
angles: 90.00 90.00 90.00
Fractional positions:
1 Hg 0.000 0.000 0.467
2 Br 0.500 0.500 0.750
3 Hg 0.000 0.000 0.033
4 Tc 0.500 0.500 0.250

=====

4.
DFT (PBE-GGA) results for TcHgBr2 after structural relaxation.

* E_form (uncorrected): 0.7783 eV/atom
* crystal system: cubic
* space-group type: No. 216
* theoretical density: 7440 kg/m³

abc: 5.250 5.250 5.250
angles: 60.00 60.00 60.00
Fractional positions:
1 Br 0.000 0.000 0.000
2 Hg 0.500 0.500 0.500
3 Tc 0.750 0.750 0.750
4 Br 0.250 0.250 0.250

=====

no.,DOS at the Fermi energy (states/eV per atom),relative energy among the computed polymorphs (meV/atom)
1,0.6576,616
2,0.6002,305
3,0.3710,230
4,0.2890,714